No. 1
Material: TlMo2P
Method: DFT, PBE
State: optimized geometry

Results
ΔE_f ... 0.30 eV/atom
E above lowest polymorph ... 19.15 kJ/mol of atoms
Space-group type ... Cmmm
Crystal system ... orthorhombic
Raw total energy ... -56.505 eV/cell

```
TlMo2P
1.0
3.4134 0.0000 0.0000
0.0000 5.0934 0.0000
0.0000 0.0000 8.0326
Tl Mo P
2 4 2
direct
0.0000 0.0000 0.0000 Tl
0.5000 0.5000 0.0000 Tl
0.0000 0.5000 0.3027 Mo
0.0000 0.5000 0.6973 Mo
0.5000 0.0000 0.3027 Mo
0.5000 0.0000 0.6973 Mo
0.0000 0.0000 0.5000 P
0.5000 0.5000 0.5000 P
```

No. 2
Material: Tl2MoP
Method: DFT, PBE
State: optimized geometry

Results
ΔE_f ... 1.06 eV/atom
E above lowest polymorph ... 95.52 kJ/mol of atoms
Space-group type ... Fm-3m
Crystal system ... cubic
Raw total energy ... -66.870 eV/cell

```
Tl2MoP
1.0
7.0715 0.0000 0.0000
0.0000 7.0715 0.0000
0.0000 0.0000 7.0715
Tl Mo P
8 4 4
direct
0.2500 0.2500 0.2500 Tl
0.2500 0.2500 0.7500 Tl
0.2500 0.7500 0.2500 Tl
0.2500 0.7500 0.7500 Tl
0.7500 0.2500 0.2500 Tl
0.7500 0.2500 0.7500 Tl
0.7500 0.7500 0.2500 Tl
0.7500 0.7500 0.7500 Tl
0.0000 0.0000 0.0000 Mo
0.0000 0.5000 0.5000 Mo
0.5000 0.0000 0.5000 Mo
0.5000 0.5000 0.0000 Mo
0.0000 0.0000 0.5000 P
0.0000 0.5000 0.0000 P
0.5000 0.0000 0.0000 P
0.5000 0.5000 0.5000 P
```

No. 3
Material: TlMo2P
Method: DFT, PBE
State: optimized geometry

Results
ΔE_f ... 0.71 eV/atom
E above lowest polymorph ... 59.52 kJ/mol of atoms
Space-group type ... Pmmm
Crystal system ... orthorhombic
Raw total energy ... -26.579 eV/cell

```
TlMo2P
1.0
3.3161 0.0000 0.0000
0.0000 4.3451 0.0000
0.0000 0.0000 4.7768
Tl Mo P
1 2 1
direct
0.0000 0.0000 0.0000 Tl
0.0000 0.5000 0.5000 Mo
0.5000 0.5000 0.0000 Mo
0.5000 0.0000 0.5000 P
```

No. 4
Material: TlMo2P
Method: DFT, PBE
State: optimized geometry

Results
ΔE_f ... 0.14 eV/atom
E above lowest polymorph ... 3.83 kJ/mol of atoms
Space-group type ... Imm2
Crystal system ... orthorhombic
Raw total energy ... -57.775 eV/cell

```
TlMo2P
1.0
3.0747 0.0000 0.0000
0.0000 3.3458 0.0000
0.0000 0.0000 14.1899
Tl Mo P
2 4 2
direct
0.0000 0.0000 0.0000 Tl
0.5000 0.5000 0.5000 Tl
0.0000 0.0000 0.3566 Mo
0.0000 0.5000 0.6793 Mo
0.5000 0.0000 0.1793 Mo
0.5000 0.5000 0.8566 Mo
0.0000 0.5000 0.2386 P
0.5000 0.0000 0.7386 P
```

No. 5
Material: Tl2MoP
Method: DFT, PBE
State: optimized geometry

Results
ΔE_f ... 0.34 eV/atom
E above lowest polymorph ... 25.39 kJ/mol of atoms
Space-group type ... Imm2
Crystal system ... orthorhombic
Raw total energy ... -39.250 eV/cell

```
Tl2MoP
1.0
3.1655 0.0000 0.0000
0.0000 5.1035 0.0000
0.0000 0.0000 10.9585
Tl Mo P
4 2 2
direct
0.0000 0.0000 0.0000 Tl
0.0000 0.5000 0.2063 Tl
0.5000 0.0000 0.7063 Tl
0.5000 0.5000 0.5000 Tl
0.0000 0.5000 0.7533 Mo
0.5000 0.0000 0.2533 Mo
0.0000 0.0000 0.4109 P
0.5000 0.5000 0.9109 P
```

No. 6
Material: TlMo2P
Method: DFT, PBE
State: optimized geometry

Results
ΔE_f ... 0.70 eV/atom
E above lowest polymorph ... 58.38 kJ/mol of atoms
Space-group type ... F-43m
Crystal system ... cubic
Raw total energy ... -106.506 eV/cell

```
TlMo2P
1.0
6.5267 0.0000 0.0000
0.0000 6.5267 0.0000
0.0000 0.0000 6.5267
Tl Mo P
4 8 4
direct
0.0000 0.0000 0.0000 Tl
0.0000 0.5000 0.5000 Tl
0.5000 0.0000 0.5000 Tl
0.5000 0.5000 0.0000 Tl
0.0000 0.0000 0.5000 Mo
0.0000 0.5000 0.0000 Mo
0.2500 0.2500 0.2500 Mo
0.2500 0.7500 0.7500 Mo
0.5000 0.0000 0.0000 Mo
0.5000 0.5000 0.5000 Mo
0.7500 0.2500 0.7500 Mo
0.7500 0.7500 0.2500 Mo
0.2500 0.2500 0.7500 P
0.2500 0.7500 0.2500 P
0.7500 0.2500 0.2500 P
0.7500 0.7500 0.7500 P
```

No. 7
Material: Tl2MoP
Method: DFT, PBE
State: optimized geometry

Results
ΔE_f ... 0.83 eV/atom
E above lowest polymorph ... 73.00 kJ/mol of atoms
Space-group type ... P2/m
Crystal system ... monoclinic
Raw total energy ... -17.651 eV/cell

```
Tl2MoP
1.0
4.9217 0.0000 0.0000
0.0000 3.5029 0.0000
-1.4638 0.0000 4.8231
Tl Mo P
2 1 1
direct
0.0000 0.0000 0.0000 Tl
0.0000 0.5000 0.5000 Tl
0.5000 0.0000 0.5000 Mo
0.5000 0.5000 0.0000 P
```

No. 8
Material: TlMo2P
Method: DFT, PBE
State: optimized geometry

Results
ΔE_f ... 0.12 eV/atom
E above lowest polymorph ... 1.80 kJ/mol of atoms
Space-group type ... P4/mmm
Crystal system ... tetragonal
Raw total energy ... -28.972 eV/cell

```
TlMo2P
1.0
3.0637 0.0000 0.0000
0.0000 3.0637 0.0000
0.0000 0.0000 7.1531
Tl Mo P
1 2 1
direct
0.0000 0.0000 0.0000 Tl
0.5000 0.5000 0.3154 Mo
0.5000 0.5000 0.6846 Mo
0.0000 0.0000 0.5000 P
```